Entry 1:
The following is a DFT calculation (PBE) of an optimized crystal structure of Mn6Si7Ni16.

Output
- Volume: 342.0 Å³/cell
- Formation energy from raw total energies: -431 meV per atom
- Electronic total energy: -6.83 eV/atom
- Magnetization: 23.94 μB/cell
- Space-group type: No. 225

Lattice parameters (Å, degrees): 7.850 7.850 7.850 60.00 60.00 60.00
Atoms (fractional coordinates):
Mn 0.194 0.194 0.806
Mn 0.194 0.806 0.194
Mn 0.194 0.806 0.806
Mn 0.806 0.194 0.194
Mn 0.806 0.194 0.806
Mn 0.806 0.806 0.194
Si 0.000 0.000 0.500
Si 0.000 0.500 0.000
Si 0.000 0.500 0.500
Si 0.500 0.000 0.000
Si 0.500 0.000 0.500
Si 0.500 0.500 0.000
Si 0.500 0.500 0.500
Ni 0.147 0.618 0.618
Ni 0.166 0.166 0.166
Ni 0.166 0.166 0.503
Ni 0.166 0.503 0.166
Ni 0.382 0.382 0.382
Ni 0.382 0.382 0.853
Ni 0.382 0.853 0.382
Ni 0.497 0.834 0.834
Ni 0.503 0.166 0.166
Ni 0.618 0.147 0.618
Ni 0.618 0.618 0.147
Ni 0.618 0.618 0.618
Ni 0.834 0.497 0.834
Ni 0.834 0.834 0.497
Ni 0.834 0.834 0.834
Ni 0.853 0.382 0.382

---

Entry 2:
The following is a DFT calculation (PBE) of an optimized crystal structure of NbCu3Pb.

Output
- Volume: 114.0 Å³/cell
- Electronic total energy: -4.04 eV/atom
- Energy above the most stable polymorph in this dataset: 0 meV/atom
- Magnetization: 0.00 μB/cell
- Space-group type: No. 221

Lattice parameters (Å, degrees): 4.849 4.849 4.849 90.00 90.00 90.00
Atoms (fractional coordinates):
Nb 0.000 0.000 0.000
Cu 0.000 0.000 0.500
Cu 0.000 0.500 0.000
Cu 0.500 0.000 0.000
Pb 0.500 0.500 0.500

---

Entry 3:
The following is a DFT calculation (PBE) of an optimized crystal structure of Pt2PbI.

Output
- Volume: 234.8 Å³/cell
- Formation energy from raw total energies: 298 meV per atom
- Electronic total energy: -4.04 eV/atom
- Energy above the most stable polymorph in this dataset: 0 meV/atom
- Magnetization: 0.00 μB/cell
- Space-group type: No. 122

Lattice parameters (Å, degrees): 7.247 7.247 7.247 127.07 127.07 78.14
Atoms (fractional coordinates):
Pt 0.112 0.625 0.987
Pt 0.375 0.362 0.487
Pt 0.638 0.125 0.013
Pt 0.875 0.888 0.513
Pb 0.250 0.750 0.500
Pb 0.500 0.500 0.000
I 0.000 0.000 0.000
I 0.750 0.250 0.500

---

Entry 4:
The following is a DFT calculation (PBE) of an optimized crystal structure of Sr3Sn2GePd6.

Output
- Volume: 272.8 Å³/cell
- Electronic total energy: -4.67 eV/atom
- Magnetization: 0.00 μB/cell
- Space-group type: No. 164

Lattice parameters (Å, degrees): 5.992 5.992 8.773 90.00 90.00 120.00
Atoms (fractional coordinates):
Sr 0.000 0.000 0.000
Sr 0.333 0.667 0.630
Sr 0.667 0.333 0.370
Sn 0.333 0.667 0.046
Sn 0.667 0.333 0.954
Ge 0.000 0.000 0.500
Pd 0.173 0.346 0.300
Pd 0.173 0.827 0.300
Pd 0.346 0.173 0.700
Pd 0.654 0.827 0.300
Pd 0.827 0.173 0.700
Pd 0.827 0.654 0.700

---

Entry 5:
The following is a DFT calculation (PBE) of an optimized crystal structure of PmErGaRu.

Output
- Volume: 92.3 Å³/cell
- Electronic total energy: -5.86 eV/atom
- Energy above the most stable polymorph in this dataset: 0 meV/atom
- Magnetization: 0.00 μB/cell
- Space-group type: No. 38

Lattice parameters (Å, degrees): 4.296 5.729 5.729 40.89 90.00 90.00
Atoms (fractional coordinates):
Pm 0.000 0.000 0.000
Er 0.500 0.285 0.285
Ga 0.500 0.583 0.583
Ru 0.000 0.719 0.719

---

Entry 6:
The following is a DFT calculation (PBE) of an optimized crystal structure of RbInSe.

Output
- Volume: 228.6 Å³/cell
- Formation energy from raw total energies: -522 meV per atom
- Electronic total energy: -2.92 eV/atom
- Energy above the most stable polymorph in this dataset: 199 meV/atom
- Magnetization: 0.00 μB/cell
- Space-group type: No. 71

Lattice parameters (Å, degrees): 9.408 9.408 9.408 153.26 142.27 46.85
Atoms (fractional coordinates):
Rb 0.167 0.167 0.000
Rb 0.833 0.833 0.000
In 0.242 0.500 0.742
In 0.758 0.500 0.258
Se 0.366 0.366 0.000
Se 0.634 0.634 0.000

---

Entry 7:
The following is a DFT calculation (PBE) of an optimized crystal structure of SiTcIr2Rh.

Output
- Volume: 83.3 Å³/cell
- Formation energy from raw total energies: 912 meV per atom
- Electronic total energy: -7.26 eV/atom
- Magnetization: 0.00 μB/cell
- Space-group type: No. 123

Lattice parameters (Å, degrees): 4.366 4.366 4.369 90.00 90.00 90.00
Atoms (fractional coordinates):
Si 0.000 0.000 0.000
Tc 0.000 0.000 0.500
Ir 0.000 0.500 0.000
Ir 0.500 0.000 0.000
Rh 0.500 0.500 0.500

---

Entry 8:
The following is a DFT calculation (PBE) of an optimized crystal structure of LaB4Ir4.

Output
- Volume: 225.9 Å³/cell
- Electronic total energy: -7.92 eV/atom
- Energy above the most stable polymorph in this dataset: 108 meV/atom
- Magnetization: 0.00 μB/cell
- Space-group type: No. 137

Lattice parameters (Å, degrees): 5.461 5.461 7.577 90.00 90.00 90.00
Atoms (fractional coordinates):
La 0.250 0.750 0.250
La 0.750 0.250 0.750
B 0.079 0.250 0.092
B 0.250 0.079 0.592
B 0.250 0.421 0.592
B 0.421 0.250 0.092
B 0.579 0.750 0.908
B 0.750 0.579 0.408
B 0.750 0.921 0.408
B 0.921 0.750 0.908
Ir 0.001 0.750 0.610
Ir 0.250 0.501 0.890
Ir 0.250 0.999 0.890
Ir 0.499 0.750 0.610
Ir 0.501 0.250 0.390
Ir 0.750 0.001 0.110
Ir 0.750 0.499 0.110
Ir 0.999 0.250 0.390

---

Entry 9:
The following is a DFT calculation (PBE) of an optimized crystal structure of SrCuP.

Output
- Volume: 123.2 Å³/cell
- Electronic total energy: -4.40 eV/atom
- Magnetization: 0.00 μB/cell
- Space-group type: No. 129

Lattice parameters (Å, degrees): 4.209 4.209 6.954 90.00 90.00 90.00
Atoms (fractional coordinates):
Sr 0.250 0.250 0.181
Sr 0.750 0.750 0.819
Cu 0.250 0.750 0.500
Cu 0.750 0.250 0.500
P 0.250 0.250 0.700
P 0.750 0.750 0.300

---

Entry 10:
The following is a DFT calculation (PBE) of an optimized crystal structure of PmDy3Cd6.

Output
- Volume: 512.2 Å³/cell
- Electronic total energy: -2.69 eV/atom
- Magnetization: 0.00 μB/cell
- Space-group type: No. 11

Lattice parameters (Å, degrees): 9.223 5.190 11.135 90.00 106.06 90.00
Atoms (fractional coordinates):
Pm 0.059 0.250 0.389
Pm 0.941 0.750 0.611
Dy 0.238 0.250 0.998
Dy 0.351 0.750 0.797
Dy 0.473 0.250 0.607
Dy 0.527 0.750 0.393
Dy 0.649 0.250 0.203
Dy 0.762 0.750 0.002
Cd 0.053 0.750 0.905
Cd 0.145 0.750 0.197
Cd 0.158 0.250 0.696
Cd 0.247 0.750 0.504
Cd 0.348 0.250 0.291
Cd 0.451 0.750 0.096
Cd 0.549 0.250 0.904
Cd 0.652 0.750 0.709
Cd 0.753 0.250 0.496
Cd 0.842 0.750 0.304
Cd 0.855 0.250 0.803
Cd 0.947 0.250 0.095

---

Entry 11:
The following is a DFT calculation (PBE) of an optimized crystal structure of KMnAg2Cl8.

Output
- Volume: 340.1 Å³/cell
- Formation energy from raw total energies: -806 meV per atom
- Electronic total energy: -3.37 eV/atom
- Magnetization: 3.00 μB/cell
- Space-group type: No. 2

Lattice parameters (Å, degrees): 6.546 6.714 8.404 93.72 111.69 94.89
Atoms (fractional coordinates):
K 0.000 0.000 0.000
Mn 0.000 0.000 0.500
Ag 0.424 0.406 0.787
Ag 0.576 0.594 0.213
Cl 0.171 0.312 0.485
Cl 0.197 0.850 0.365
Cl 0.218 0.497 0.987
Cl 0.278 0.970 0.760
Cl 0.722 0.030 0.240
Cl 0.782 0.503 0.013
Cl 0.803 0.150 0.635
Cl 0.829 0.688 0.515

---

Entry 12:
The following is a DFT calculation (PBE) of an optimized crystal structure of Dy4HgTe2S.

Output
- Volume: 216.5 Å³/cell
- Formation energy from raw total energies: -1236 meV per atom
- Electronic total energy: -4.88 eV/atom
- Magnetization: 0.00 μB/cell
- Space-group type: No. 10

Lattice parameters (Å, degrees): 7.412 4.108 7.474 90.00 107.92 90.00
Atoms (fractional coordinates):
Dy 0.229 0.000 0.217
Dy 0.251 0.500 0.767
Dy 0.749 0.500 0.233
Dy 0.771 0.000 0.783
Hg 0.500 0.000 0.000
Te 0.000 0.000 0.500
Te 0.500 0.500 0.500
S 0.000 0.500 0.000

---

Entry 13:
The following is a DFT calculation (PBE) of an optimized crystal structure of RbBAuF6.

Output
- Volume: 175.7 Å³/cell
- Formation energy from raw total energies: -2186 meV per atom
- Electronic total energy: -4.65 eV/atom
- Magnetization: 1.10 μB/cell
- Space-group type: No. 1

Lattice parameters (Å, degrees): 4.946 5.911 6.478 86.58 68.82 84.21
Atoms (fractional coordinates):
Rb 0.000 0.000 0.000
B 0.455 0.480 0.168
Au 0.691 0.511 0.628
F 0.219 0.637 0.268
F 0.378 0.308 0.064
F 0.441 0.799 0.641
F 0.582 0.374 0.319
F 0.681 0.600 0.001
F 0.941 0.225 0.625

---

Entry 14:
The following is a DFT calculation (PBE) of an optimized crystal structure of VCrCoMo2.

Output
- Volume: 81.9 Å³/cell
- Electronic total energy: -8.03 eV/atom
- Magnetization: 0.00 μB/cell
- Space-group type: No. 123

Lattice parameters (Å, degrees): 4.472 4.472 4.094 90.00 90.00 90.00
Atoms (fractional coordinates):
V 0.000 0.000 0.000
Cr 0.500 0.500 0.500
Co 0.000 0.000 0.500
Mo 0.000 0.500 0.000
Mo 0.500 0.000 0.000

---

Entry 15:
The following is a DFT calculation (PBE) of an optimized crystal structure of Cd2CuRe.

Output
- Volume: 66.3 Å³/cell
- Electronic total energy: -4.03 eV/atom
- Energy above the most stable polymorph in this dataset: 171 meV/atom
- Magnetization: 0.00 μB/cell
- Space-group type: No. 71

Lattice parameters (Å, degrees): 5.548 5.548 5.548 149.95 128.53 60.75
Atoms (fractional coordinates):
Cd 0.232 0.232 0.000
Cd 0.768 0.768 0.000
Cu 0.000 0.500 0.500
Re 0.500 0.000 0.500

---

Entry 16:
The following is a DFT calculation (PBE) of an optimized crystal structure of Li2ZnAg2.

Output
- Volume: 85.8 Å³/cell
- Electronic total energy: -2.09 eV/atom
- Energy above the most stable polymorph in this dataset: 269 meV/atom
- Magnetization: 0.00 μB/cell
- Space-group type: No. 139

Lattice parameters (Å, degrees): 7.407 7.407 7.407 152.61 152.61 39.12
Atoms (fractional coordinates):
Li 0.250 0.750 0.500
Li 0.750 0.250 0.500
Zn 0.000 0.000 0.000
Ag 0.400 0.400 0.000
Ag 0.600 0.600 0.000

---

Entry 17:
The following is a DFT calculation (PBE) of an optimized crystal structure of La3Ta.

Output
- Volume: 241.6 Å³/cell
- Electronic total energy: -6.25 eV/atom
- Magnetization: 0.00 μB/cell
- Space-group type: No. 194

Lattice parameters (Å, degrees): 7.074 7.074 5.575 90.00 90.00 120.00
Atoms (fractional coordinates):
La 0.177 0.354 0.250
La 0.177 0.823 0.250
La 0.354 0.177 0.750
La 0.646 0.823 0.250
La 0.823 0.177 0.750
La 0.823 0.646 0.750
Ta 0.333 0.667 0.750
Ta 0.667 0.333 0.250

---

Entry 18:
The following is a DFT calculation (PBE) of an optimized crystal structure of CsNpTa2S8.

Output
- Volume: 371.8 Å³/cell
- Formation energy from raw total energies: -921 meV per atom
- Electronic total energy: -6.80 eV/atom
- Magnetization: 2.00 μB/cell
- Space-group type: No. 148

Lattice parameters (Å, degrees): 10.576 10.576 10.576 36.34 36.34 36.34
Atoms (fractional coordinates):
Cs 0.000 0.000 0.000
Np 0.500 0.500 0.500
Ta 0.240 0.240 0.240
Ta 0.760 0.760 0.760
S 0.125 0.447 0.771
S 0.229 0.875 0.553
S 0.314 0.314 0.314
S 0.447 0.771 0.125
S 0.553 0.229 0.875
S 0.686 0.686 0.686
S 0.771 0.125 0.447
S 0.875 0.553 0.229

---

Entry 19:
The following is a DFT calculation (PBE) of an optimized crystal structure of PaCuBiRh.

Output
- Volume: 80.3 Å³/cell
- Electronic total energy: -6.47 eV/atom
- Magnetization: 0.00 μB/cell
- Space-group type: No. 216

Lattice parameters (Å, degrees): 4.843 4.843 4.843 60.00 60.00 60.00
Atoms (fractional coordinates):
Pa 0.000 0.000 0.000
Cu 0.750 0.750 0.750
Bi 0.500 0.500 0.500
Rh 0.250 0.250 0.250

---

Entry 20:
The following is a DFT calculation (PBE) of an optimized crystal structure of MgMoRu2.

Output
- Volume: 60.4 Å³/cell
- Electronic total energy: -7.60 eV/atom
- Magnetization: 0.00 μB/cell
- Space-group type: No. 6

Lattice parameters (Å, degrees): 2.760 4.301 5.230 90.00 103.31 90.00
Atoms (fractional coordinates):
Mg 0.000 0.000 0.000
Mo 0.530 0.500 0.266
Ru 0.498 0.500 0.777
Ru 0.926 0.000 0.498

---

Entry 21:
The following is a DFT calculation (PBE) of an optimized crystal structure of NaBrO3.

Output
- Volume: 59.0 Å³/cell
- Formation energy from raw total energies: -81 meV per atom
- Electronic total energy: -3.65 eV/atom
- Magnetization: 0.00 μB/cell
- Space-group type: No. 221

Lattice parameters (Å, degrees): 3.893 3.893 3.893 90.00 90.00 90.00
Atoms (fractional coordinates):
Na 0.000 0.000 0.000
Br 0.500 0.500 0.500
O 0.000 0.500 0.500
O 0.500 0.000 0.500
O 0.500 0.500 0.000

---

Entry 22:
The following is a DFT calculation (PBE) of an optimized crystal structure of SbAu.

Output
- Volume: 92.8 Å³/cell
- Formation energy from raw total energies: 28 meV per atom
- Electronic total energy: -3.67 eV/atom
- Magnetization: 0.00 μB/cell
- Space-group type: No. 63

Lattice parameters (Å, degrees): 4.185 4.185 7.632 90.00 90.00 136.05
Atoms (fractional coordinates):
Sb 0.000 0.000 0.000
Sb 0.000 0.000 0.500
Au 0.274 0.726 0.750
Au 0.726 0.274 0.250

---

Entry 23:
The following is a DFT calculation (PBE) of an optimized crystal structure of Li3Al.

Output
- Volume: 68.3 Å³/cell
- Electronic total energy: -2.46 eV/atom
- Magnetization: 0.00 μB/cell
- Space-group type: No. 25

Lattice parameters (Å, degrees): 2.831 4.752 5.073 90.00 90.00 90.00
Atoms (fractional coordinates):
Li 0.000 0.000 0.000
Li 0.000 0.500 0.336
Li 0.500 0.500 0.809
Al 0.500 0.000 0.500

---

Entry 24:
The following is a DFT calculation (PBE) of an optimized crystal structure of Al2AsPd8.

Output
- Volume: 169.8 Å³/cell
- Electronic total energy: -5.39 eV/atom
- Energy above the most stable polymorph in this dataset: 58 meV/atom
- Magnetization: 0.00 μB/cell
- Space-group type: No. 71

Lattice parameters (Å, degrees): 7.066 7.066 7.066 145.90 119.24 71.55
Atoms (fractional coordinates):
Al 0.193 0.193 0.000
Al 0.807 0.807 0.000
As 0.500 0.500 0.000
Pd 0.064 0.340 0.723
Pd 0.184 0.000 0.184
Pd 0.359 0.859 0.500
Pd 0.383 0.660 0.723
Pd 0.617 0.340 0.277
Pd 0.641 0.141 0.500
Pd 0.816 0.000 0.816
Pd 0.936 0.660 0.277